{
  "formula": "Rb4Pa3VO12",
  "functional": "GGA+U",
  "state": "optimized geometry",
  "lattice_angstrom": [[-4.291, 4.291, 4.291], [4.291, -4.291, 4.291], [4.291, 4.291, -4.291]],
  "species": ["Rb", "Rb", "Rb", "Rb", "Pa", "Pa", "Pa", "V", "O", "O", "O", "O", "O", "O", "O", "O", "O", "O", "O", "O"],
  "fractional_positions": [[0.000, 0.000, 0.500], [0.000, 0.500, 0.000], [0.500, 0.000, 0.000], [0.500, 0.500, 0.500], [0.000, 0.500, 0.500], [0.500, 0.000, 0.500], [0.500, 0.500, 0.000], [0.000, 0.000, 0.000], [0.000, 0.233, 0.233], [0.000, 0.767, 0.767], [0.233, 0.000, 0.233], [0.233, 0.233, 0.000], [0.250, 0.500, 0.750], [0.250, 0.750, 0.500], [0.500, 0.250, 0.750], [0.500, 0.750, 0.250], [0.750, 0.250, 0.500], [0.750, 0.500, 0.250], [0.767, 0.000, 0.767], [0.767, 0.767, 0.000]],
  "rho_g_cm3": 6.71,
  "sg": "No. 229",
  "energy_ev_per_fu": -153.7,
  "total_magnetization_mub_per_atom": 0.000
}